Entry from Alexandria via LeMat-Bulk: a geometry-optimized PmThPbI structure (PBE).

Calculated values
ΔE_f (raw) = -511 meV/atom
Space-group type = No. 216
Final energy = -4.868 eV/atom

Cell lengths 5.532, 5.532, 5.532 Å; angles 60.00, 60.00, 60.00 degrees
Sites, in units of the cell vectors:
Pm: 0.750 0.750 0.750
I: 0.000 0.000 0.000
Th: 0.250 0.250 0.250
Pb: 0.500 0.500 0.500

---

Entry from Alexandria via LeMat-Bulk: a geometry-optimized TbSm6Dy3 structure (PBE).

Calculated values
ΔE to the lowest computed polymorph = 0.020 eV/atom
Space-group type = No. 36
Final energy = -4.529 eV/atom

Cell lengths 6.295, 11.068, 11.068 Å; angles 120.36, 90.00, 90.00 degrees
Sites, in units of the cell vectors:
Sm: 0.546 0.625 0.710
Sm: 0.866 0.473 0.054
Sm: 0.645 0.279 0.721
Sm: 0.393 0.960 0.040
Sm: 0.046 0.375 0.290
Sm: 0.893 0.040 0.960
Sm: 0.145 0.721 0.279
Sm: 0.866 0.946 0.527
Sm: 0.366 0.527 0.946
Sm: 0.366 0.054 0.473
Sm: 0.046 0.710 0.625
Sm: 0.546 0.290 0.375
Dy: 0.577 0.614 0.386
Dy: 0.963 0.057 0.284
Dy: 0.963 0.716 0.943
Dy: 0.077 0.386 0.614
Dy: 0.463 0.284 0.057
Dy: 0.463 0.943 0.716
Tb: 0.621 0.801 0.199
Tb: 0.121 0.199 0.801

---

Entry from Alexandria via LeMat-Bulk: a geometry-optimized Tb2SmNpAs4 structure (PBE).

Calculated values
Space-group type = No. 10
Final energy = -7.003 eV/atom

Cell lengths 4.143, 7.186, 7.180 Å; angles 109.33, 90.00, 90.00 degrees
Sites, in units of the cell vectors:
As: 0.500 0.754 0.751
As: 0.000 0.244 0.749
As: 0.000 0.756 0.251
As: 0.500 0.246 0.249
Tb: 0.500 0.000 0.500
Tb: 0.000 0.500 0.500
Sm: 0.500 0.500 0.000
Np: 0.000 0.000 0.000

---

Entry from Alexandria via LeMat-Bulk: a geometry-optimized NdSm6Ho2Th3 structure (PBE).

Calculated values
Space-group type = No. 12
Final energy = -5.343 eV/atom

Cell lengths 6.238, 6.238, 11.956 Å; angles 95.00, 95.00, 119.95 degrees
Sites, in units of the cell vectors:
Nd: 0.000 0.000 0.000
Sm: 0.419 0.085 0.255
Sm: 0.581 0.915 0.745
Sm: 0.751 0.751 0.254
Sm: 0.085 0.419 0.255
Sm: 0.249 0.249 0.746
Sm: 0.915 0.581 0.745
Th: 0.166 0.834 0.500
Th: 0.500 0.500 0.500
Th: 0.834 0.166 0.500
Ho: 0.667 0.333 0.000
Ho: 0.333 0.667 0.000

---

Entry from Alexandria via LeMat-Bulk: a geometry-optimized RbCo2Mo structure (PBE).

Calculated values
ΔE to the lowest computed polymorph = 0.000 eV/atom
Space-group type = No. 122
Final energy = -5.087 eV/atom

Cell lengths 7.122, 7.122, 6.159 Å; angles 54.68, 54.68, 90.00 degrees
Sites, in units of the cell vectors:
Co: 0.375 0.283 0.750
Co: 0.717 0.125 0.250
Co: 0.875 0.967 0.750
Co: 0.033 0.625 0.250
Mo: 0.750 0.250 0.500
Mo: 0.000 0.000 0.000
Rb: 0.500 0.500 0.000
Rb: 0.250 0.750 0.500

---

Entry from Alexandria via LeMat-Bulk: a geometry-optimized YSc3Se structure (PBE).

Calculated values
ΔE to the lowest computed polymorph = 1.312 eV/atom
ΔE_f (raw) = 902 meV/atom
Space-group type = No. 221
Final energy = -4.887 eV/atom

Cell lengths 5.256, 5.256, 5.256 Å; angles 90.00, 90.00, 90.00 degrees
Sites, in units of the cell vectors:
Sc: 0.000 0.000 0.500
Sc: 0.500 0.000 0.000
Sc: 0.000 0.500 0.000
Y: 0.000 0.000 0.000
Se: 0.500 0.500 0.500

---

Entry from Alexandria via LeMat-Bulk: a geometry-optimized Ba2SrGa2 structure (PBE).

Calculated values
ΔE to the lowest computed polymorph = 0.045 eV/atom
Space-group type = No. 127
Final energy = -2.555 eV/atom

Cell lengths 9.408, 9.408, 4.356 Å; angles 90.00, 90.00, 90.00 degrees
Sites, in units of the cell vectors:
Ba: 0.839 0.339 0.500
Ba: 0.661 0.839 0.500
Ba: 0.339 0.161 0.500
Ba: 0.161 0.661 0.500
Ga: 0.371 0.871 0.000
Ga: 0.129 0.371 0.000
Ga: 0.629 0.129 0.000
Ga: 0.871 0.629 0.000
Sr: 0.000 0.000 0.000
Sr: 0.500 0.500 0.000

---

Entry from Alexandria via LeMat-Bulk: a geometry-optimized GaReAu3 structure (PBE).

Calculated values
ΔE to the lowest computed polymorph = 0.000 eV/atom
Space-group type = No. 221
Final energy = -3.975 eV/atom

Cell lengths 5.086, 5.086, 5.086 Å; angles 90.00, 90.00, 90.00 degrees
Sites, in units of the cell vectors:
Re: 0.000 0.000 0.000
Ga: 0.500 0.500 0.500
Au: 0.000 0.500 0.000
Au: 0.000 0.000 0.500
Au: 0.500 0.000 0.000